# 1
The following is a DFT calculation (GGA-PBE) of a relaxed NaLaZnSe3 crystal.

Summary:
Spin magnetization, μB/f.u.: 0.00
Relative energy among the computed polymorphs, meV per atom: 13
Raw total energy, eV per atom: -4.347

CIF file:
```
data_NaLaZnSe3
_chemical_formula_sum 'Na4 La4 Zn4 Se12'
_cell_length_a 4.2058
_cell_length_b 13.4900
_cell_length_c 11.5313
_cell_angle_alpha 90.00
_cell_angle_beta 90.00
_cell_angle_gamma 90.00
_symmetry_space_group_name_H-M 'C m c m'
_symmetry_Int_Tables_number 63
_symmetry_space_group_name_Hall '-C 2c 2'
loop_
_atom_site_label
_atom_site_type_symbol
_atom_site_fract_x
_atom_site_fract_y
_atom_site_fract_z
Na1 Na 0.0000 0.2434 0.2500
La1 La 0.0000 0.0000 0.0000
Zn1 Zn 0.0000 0.4672 0.7500
Se1 Se 0.0000 0.0787 0.7500
Se2 Se 0.0000 0.3584 0.5800
```


# 2
The following is a DFT calculation (GGA-PBE) of a relaxed NaLaZnSe3 crystal.

Summary:
Spin magnetization, μB/f.u.: 0.00
Relative energy among the computed polymorphs, meV per atom: 52
Raw total energy, eV per atom: -4.308

CIF file:
```
data_NaLaZnSe3
_chemical_formula_sum 'Na4 La4 Zn4 Se12'
_cell_length_a 8.4783
_cell_length_b 4.2545
_cell_length_c 16.9798
_cell_angle_alpha 90.00
_cell_angle_beta 90.00
_cell_angle_gamma 90.00
_symmetry_space_group_name_H-M 'P n m a'
_symmetry_Int_Tables_number 62
loop_
_symmetry_equiv_pos_as_xyz
'x,y,z'
'-x,-y,-z'
'-x+1/2,-y,z+1/2'
'x+1/2,y,-z+1/2'
'x+1/2,-y+1/2,-z+1/2'
'-x+1/2,y+1/2,z+1/2'
'-x,y+1/2,-z'
'x,-y+1/2,z'
loop_
_atom_site_label
_atom_site_type_symbol
_atom_site_fract_x
_atom_site_fract_y
_atom_site_fract_z
Na1 Na 0.0694 0.2500 0.2284
La1 La 0.2394 0.2500 0.9498
Zn1 Zn 0.1360 0.2500 0.6416
Se1 Se 0.0001 0.2500 0.4105
Se2 Se 0.1249 0.7500 0.0591
Se3 Se 0.1890 0.2500 0.7799
```


# 3
The following is a DFT calculation (GGA-PBE) of a relaxed NaLaZnTe3 crystal.

Summary:
Spin magnetization, μB/f.u.: 0.00
Relative energy among the computed polymorphs, meV per atom: 0
Raw total energy, eV per atom: -3.869

CIF file:
```
data_NaLaZnTe3
_chemical_formula_sum 'Na4 La4 Zn4 Te12'
_cell_length_a 12.1378
_cell_length_b 4.4386
_cell_length_c 14.5882
_cell_angle_alpha 90.00
_cell_angle_beta 90.00
_cell_angle_gamma 90.00
_symmetry_space_group_name_H-M 'P n m a'
_symmetry_Int_Tables_number 62
loop_
_symmetry_equiv_pos_as_xyz
'x,y,z'
'-x,-y,-z'
'-x+1/2,-y,z+1/2'
'x+1/2,y,-z+1/2'
'x+1/2,-y+1/2,-z+1/2'
'-x+1/2,y+1/2,z+1/2'
'-x,y+1/2,-z'
'x,-y+1/2,z'
loop_
_atom_site_label
_atom_site_type_symbol
_atom_site_fract_x
_atom_site_fract_y
_atom_site_fract_z
Na1 Na 0.2308 0.2500 0.0124
La1 La 0.0069 0.7500 0.7426
Zn1 Zn 0.2432 0.7500 0.2181
Te1 Te 0.0654 0.7500 0.1102
Te2 Te 0.0885 0.2500 0.6003
Te3 Te 0.2464 0.2500 0.3320
```


# 4
The following is a DFT calculation (GGA-PBE) of a relaxed NaLaZnTe3 crystal.

Summary:
Spin magnetization, μB/f.u.: 0.00
Relative energy among the computed polymorphs, meV per atom: 7
Raw total energy, eV per atom: -3.863

CIF file:
```
data_NaLaZnTe3
_chemical_formula_sum 'Na4 La4 Zn4 Te12'
_cell_length_a 12.6404
_cell_length_b 4.5062
_cell_length_c 13.1675
_cell_angle_alpha 90.00
_cell_angle_beta 90.00
_cell_angle_gamma 90.00
_symmetry_space_group_name_H-M 'P n m a'
_symmetry_Int_Tables_number 62
loop_
_symmetry_equiv_pos_as_xyz
'x,y,z'
'-x,-y,-z'
'-x+1/2,-y,z+1/2'
'x+1/2,y,-z+1/2'
'x+1/2,-y+1/2,-z+1/2'
'-x+1/2,y+1/2,z+1/2'
'-x,y+1/2,-z'
'x,-y+1/2,z'
loop_
_atom_site_label
_atom_site_type_symbol
_atom_site_fract_x
_atom_site_fract_y
_atom_site_fract_z
Na1 Na 0.1863 0.2500 0.0098
La1 La 0.0285 0.2500 0.3152
Zn1 Zn 0.2488 0.7500 0.2090
Te1 Te 0.0532 0.7500 0.1394
Te2 Te 0.1055 0.2500 0.5623
Te3 Te 0.2084 0.7500 0.8188
```


# 5
The following is a DFT calculation (GGA-PBE) of a relaxed NaLaZnTe3 crystal.

Summary:
Spin magnetization, μB/f.u.: 0.00
Relative energy among the computed polymorphs, meV per atom: 118
Raw total energy, eV per atom: -3.751

CIF file:
```
data_NaLaZnTe3
_chemical_formula_sum 'Na4 La4 Zn4 Te12'
_cell_length_a 21.0815
_cell_length_b 4.5044
_cell_length_c 8.6647
_cell_angle_alpha 90.00
_cell_angle_beta 104.87
_cell_angle_gamma 90.00
_symmetry_space_group_name_H-M 'C 1 2/m 1'
_symmetry_Int_Tables_number 12
loop_
_symmetry_equiv_pos_as_xyz
'x,y,z'
'-x,-y,-z'
'-x,y,-z'
'x,-y,z'
'x+1/2,y+1/2,z'
'-x+1/2,-y+1/2,-z'
'-x+1/2,y+1/2,-z'
'x+1/2,-y+1/2,z'
loop_
_atom_site_label
_atom_site_type_symbol
_atom_site_fract_x
_atom_site_fract_y
_atom_site_fract_z
Na1 Na 0.1126 0.0000 0.0761
La1 La 0.1712 0.0000 0.5907
Zn1 Zn 0.0405 0.5000 0.7297
Te1 Te 0.0000 0.0000 0.5000
Te2 Te 0.0000 0.5000 0.0000
Te3 Te 0.1682 0.5000 0.8519
Te4 Te 0.1732 0.5000 0.3383
```


# 6
The following is a DFT calculation (GGA-PBE) of a relaxed NaLaZnTe3 crystal.

Summary:
Spin magnetization, μB/f.u.: 0.00
Relative energy among the computed polymorphs, meV per atom: 57
Raw total energy, eV per atom: -3.812

CIF file:
```
data_NaLaZnTe3
_chemical_formula_sum 'Na4 La4 Zn4 Te12'
_cell_length_a 9.0415
_cell_length_b 4.5190
_cell_length_c 18.4145
_cell_angle_alpha 90.00
_cell_angle_beta 90.00
_cell_angle_gamma 90.00
_symmetry_space_group_name_H-M 'P n m a'
_symmetry_Int_Tables_number 62
loop_
_symmetry_equiv_pos_as_xyz
'x,y,z'
'-x,-y,-z'
'-x+1/2,-y,z+1/2'
'x+1/2,y,-z+1/2'
'x+1/2,-y+1/2,-z+1/2'
'-x+1/2,y+1/2,z+1/2'
'-x,y+1/2,-z'
'x,-y+1/2,z'
loop_
_atom_site_label
_atom_site_type_symbol
_atom_site_fract_x
_atom_site_fract_y
_atom_site_fract_z
Na1 Na 0.0640 0.2500 0.2229
La1 La 0.2368 0.2500 0.9501
Zn1 Zn 0.1275 0.2500 0.6437
Te1 Te 0.0009 0.7500 0.5858
Te2 Te 0.1254 0.7500 0.0614
Te3 Te 0.1984 0.2500 0.7800
```


# 7
The following is a DFT calculation (GGA-PBE) of a relaxed NaLaZnTe3 crystal.

Summary:
Spin magnetization, μB/f.u.: 0.00
Relative energy among the computed polymorphs, meV per atom: 15
Raw total energy, eV per atom: -3.855

CIF file:
```
data_NaLaZnTe3
_chemical_formula_sum 'Na2 La2 Zn2 Te6'
_cell_length_a 8.9803
_cell_length_b 4.4584
_cell_length_c 10.5699
_cell_angle_alpha 90.00
_cell_angle_beta 103.08
_cell_angle_gamma 90.00
_symmetry_space_group_name_H-M 'P 1 21/m 1'
_symmetry_Int_Tables_number 11
loop_
_symmetry_equiv_pos_as_xyz
'x,y,z'
'-x,-y,-z'
'-x,y+1/2,-z'
'x,-y+1/2,z'
loop_
_atom_site_label
_atom_site_type_symbol
_atom_site_fract_x
_atom_site_fract_y
_atom_site_fract_z
Na1 Na 0.2213 0.2500 0.2444
La1 La 0.3106 0.7500 0.8557
Zn1 Zn 0.0800 0.2500 0.6032
Te1 Te 0.0518 0.2500 0.8482
Te2 Te 0.2223 0.7500 0.5325
Te3 Te 0.4410 0.7500 0.1659
```


# 8
The following is a DFT calculation (GGA-PBE) of a relaxed NaLaZnTe3 crystal.

Summary:
Spin magnetization, μB/f.u.: 0.00
Relative energy among the computed polymorphs, meV per atom: 0
Raw total energy, eV per atom: -3.870

CIF file:
```
data_NaLaZnTe3
_chemical_formula_sum 'Na4 La4 Zn4 Te12'
_cell_length_a 4.4359
_cell_length_b 14.5845
_cell_length_c 12.1129
_cell_angle_alpha 90.00
_cell_angle_beta 90.00
_cell_angle_gamma 90.00
_symmetry_space_group_name_H-M 'C m c m'
_symmetry_Int_Tables_number 63
_symmetry_space_group_name_Hall '-C 2c 2'
loop_
_atom_site_label
_atom_site_type_symbol
_atom_site_fract_x
_atom_site_fract_y
_atom_site_fract_z
Na1 Na 0.0000 0.2389 0.2500
La1 La 0.0000 0.0000 0.0000
Zn1 Zn 0.0000 0.4674 0.7500
Te1 Te 0.0000 0.0827 0.7500
Te2 Te 0.0000 0.3550 0.5762
```


# 9
The following is a DFT calculation (GGA-PBE) of a relaxed NaLaTm crystal.

Summary:
Spin magnetization, μB/f.u.: 1.39
Relative energy among the computed polymorphs, meV per atom: 0
Raw total energy, eV per atom: -2.809

CIF file:
```
data_NaLaTm
_chemical_formula_sum 'Na4 La4 Tm4'
_cell_length_a 7.6126
_cell_length_b 7.6126
_cell_length_c 7.6126
_cell_angle_alpha 90.00
_cell_angle_beta 90.00
_cell_angle_gamma 90.00
_symmetry_space_group_name_H-M 'F -4 3 m'
_symmetry_Int_Tables_number 216
_symmetry_space_group_name_Hall 'F -4 2 3'
loop_
_atom_site_label
_atom_site_type_symbol
_atom_site_fract_x
_atom_site_fract_y
_atom_site_fract_z
Na1 Na 0.0000 0.0000 0.0000
La1 La 0.2500 0.2500 0.7500
Tm1 Tm 0.2500 0.2500 0.2500
```


# 10
The following is a DFT calculation (GGA-PBE) of a relaxed Na2LaZn crystal.

Summary:
Spin magnetization, μB/f.u.: 0.23
Raw total energy, eV per atom: -2.095

CIF file:
```
data_Na2LaZn
_chemical_formula_sum 'Na8 La4 Zn4'
_cell_length_a 7.6100
_cell_length_b 7.6100
_cell_length_c 7.6100
_cell_angle_alpha 90.00
_cell_angle_beta 90.00
_cell_angle_gamma 90.00
_symmetry_space_group_name_H-M 'F -4 3 m'
_symmetry_Int_Tables_number 216
_symmetry_space_group_name_Hall 'F -4 2 3'
loop_
_atom_site_label
_atom_site_type_symbol
_atom_site_fract_x
_atom_site_fract_y
_atom_site_fract_z
Na1 Na 0.0000 0.0000 0.0000
Na2 Na 0.2500 0.2500 0.2500
La1 La 0.2500 0.2500 0.7500
Zn1 Zn 0.0000 0.0000 0.5000
```